# Pm3Dy2Ho2, relaxed, DFT PBE-GGA
# energy relative to the lowest polymorph listed for this composition	0.000	eV per atom
# energy relative to the elements	0.0157	eV per atom
# size of the total moment	0.00	Bohr magnetons per cell
# volume	455.2	Å³ per cell
data_Pm3Dy2Ho2
_chemical_formula_sum 'Pm6 Dy4 Ho4'
_space_group_name_H-M_alt 'C 1 2/m 1'
_space_group_IT_number 12
_space_group_name_Hall '-C 2y'
_cell_length_a 11.876
_cell_length_b 3.582
_cell_length_c 10.758
_cell_angle_alpha 90.00
_cell_angle_beta 95.94
_cell_angle_gamma 90.00
loop_
_atom_site_label
_atom_site_type_symbol
_atom_site_fract_x
_atom_site_fract_y
_atom_site_fract_z
Pm1 Pm 0.000 0.000 0.000
Pm2 Pm 0.143 0.000 0.572
Dy1 Dy 0.215 0.500 0.858
Ho1 Ho 0.072 0.500 0.284

# Pm4Dy3Ho, relaxed, DFT PBE-GGA
# energy relative to the lowest polymorph listed for this composition	0.000	eV per atom
# energy relative to the elements	0.0249	eV per atom
# size of the total moment	0.00	Bohr magnetons per cell
# volume	531.5	Å³ per cell
data_Pm4Dy3Ho
_chemical_formula_sum 'Pm8 Dy6 Ho2'
_space_group_name_H-M_alt 'P m n 21'
_space_group_IT_number 31
_space_group_name_Hall 'P 2ac -2'
_cell_length_a 11.523
_cell_length_b 7.313
_cell_length_c 6.307
_cell_angle_alpha 90.00
_cell_angle_beta 90.00
_cell_angle_gamma 90.00
loop_
_atom_site_label
_atom_site_type_symbol
_atom_site_fract_x
_atom_site_fract_y
_atom_site_fract_z
Pm1 Pm 0.000 0.127 0.000
Pm2 Pm 0.000 0.873 0.499
Pm3 Pm 0.250 0.128 0.334
Dy1 Dy 0.000 0.378 0.500
Dy2 Dy 0.250 0.378 0.833
Ho1 Ho 0.000 0.622 0.000

# Pm9Dy2Ho, relaxed, DFT PBE-GGA
# energy relative to the elements	0.0165	eV per atom
# size of the total moment	0.00	Bohr magnetons per cell
# volume	402.6	Å³ per cell
data_Pm9Dy2Ho
_chemical_formula_sum 'Pm9 Dy2 Ho1'
_space_group_name_H-M_alt 'P 4/m m m'
_space_group_IT_number 123
_space_group_name_Hall '-P 4 2'
_cell_length_a 5.120
_cell_length_b 5.120
_cell_length_c 15.360
_cell_angle_alpha 90.00
_cell_angle_beta 90.00
_cell_angle_gamma 90.00
loop_
_atom_site_label
_atom_site_type_symbol
_atom_site_fract_x
_atom_site_fract_y
_atom_site_fract_z
Pm1 Pm 0.000 0.000 0.000
Pm2 Pm 0.000 0.000 0.333
Pm3 Pm 0.000 0.500 0.167
Pm4 Pm 0.000 0.500 0.500
Dy1 Dy 0.500 0.500 0.333
Ho1 Ho 0.500 0.500 0.000

# Pm2Dy3Ho5, relaxed, DFT PBE-GGA
# energy relative to the lowest polymorph listed for this composition	0.000	eV per atom
# energy relative to the elements	0.1973	eV per atom
# size of the total moment	0.00	Bohr magnetons per cell
# volume	1304.3	Å³ per cell
data_Pm2Dy3Ho5
_chemical_formula_sum 'Pm8 Dy12 Ho20'
_space_group_name_H-M_alt 'C 1 2/c 1'
_space_group_IT_number 15
_space_group_name_Hall '-C 2yc'
_cell_length_a 10.667
_cell_length_b 15.842
_cell_length_c 9.381
_cell_angle_alpha 90.00
_cell_angle_beta 124.64
_cell_angle_gamma 90.00
loop_
_atom_site_label
_atom_site_type_symbol
_atom_site_fract_x
_atom_site_fract_y
_atom_site_fract_z
Pm1 Pm 0.149 0.124 0.047
Dy1 Dy 0.000 0.273 0.750
Dy2 Dy 0.149 0.375 0.549
Ho1 Ho 0.000 0.024 0.250
Ho2 Ho 0.000 0.226 0.250
Ho3 Ho 0.000 0.476 0.750
Ho4 Ho 0.248 0.376 0.251